(1)
Density functional theory data (PBE) for a relaxed structure of Tb3ThP4.

Unit cell a=7.023 b=7.023 c=4.064 alpha=90.00 beta=90.00 gamma=109.49
Element x y z (fractional)
P 0.749 0.251 0.000
P 0.251 0.749 0.000
P 0.254 0.254 0.500
P 0.746 0.746 0.500
Tb 0.500 0.500 0.000
Tb 0.500 0.000 0.500
Tb 0.000 0.500 0.500
Th 0.000 0.000 0.000

Values from the calculation:
The calculation puts the total DFT energy (no corrections) at -6.98 eV/atom.



(2)
Density functional theory data (PBE) for a relaxed structure of Pm2SmOs.

Unit cell a=7.462 b=9.481 c=6.479 alpha=90.00 beta=90.00 gamma=90.00
Element x y z (fractional)
Os 0.885 0.250 0.046
Os 0.385 0.250 0.454
Os 0.615 0.750 0.546
Os 0.115 0.750 0.954
Pm 0.175 0.065 0.170
Pm 0.175 0.435 0.170
Pm 0.675 0.065 0.330
Pm 0.675 0.435 0.330
Pm 0.325 0.565 0.670
Pm 0.325 0.935 0.670
Pm 0.825 0.565 0.830
Pm 0.825 0.935 0.830
Sm 0.458 0.750 0.138
Sm 0.958 0.750 0.362
Sm 0.042 0.250 0.638
Sm 0.542 0.250 0.862

Values from the calculation:
The calculation puts the total DFT energy (no corrections) at -6.50 eV/atom.



(3)
Density functional theory data (PBE) for a relaxed structure of ZrNiTe2.

Unit cell a=4.970 b=4.970 c=4.970 alpha=60.00 beta=60.00 gamma=60.00
Element x y z (fractional)
Ni 0.250 0.250 0.250
Te 0.000 0.000 0.000
Te 0.750 0.750 0.750
Zr 0.500 0.500 0.500

Values from the calculation:
The calculation puts the total DFT energy (no corrections) at -4.94 eV/atom.



(4)
Density functional theory data (PBE) for a relaxed structure of BaNbPtAu.

Unit cell a=5.103 b=5.103 c=5.103 alpha=60.00 beta=60.00 gamma=60.00
Element x y z (fractional)
Au 0.750 0.750 0.750
Ba 0.500 0.500 0.500
Nb 0.000 0.000 0.000
Pt 0.250 0.250 0.250

Values from the calculation:
The value obtained for the energy relative to the lowest polymorph listed for this composition is 0 meV/atom.



(5)
Density functional theory data (PBE) for a relaxed structure of Er2Zn3InNi2.

Unit cell a=5.143 b=5.143 c=7.351 alpha=90.77 beta=90.77 gamma=46.77
Element x y z (fractional)
Er 0.933 0.933 0.233
Er 0.066 0.066 0.766
In 0.643 0.643 0.449
Ni 0.224 0.224 0.239
Ni 0.782 0.782 0.760
Zn 0.645 0.645 0.051
Zn 0.351 0.351 0.559
Zn 0.356 0.356 0.942

Values from the calculation:
The calculation puts the total DFT energy (no corrections) at -3.78 eV/atom.



(6)
Density functional theory data (PBE) for a relaxed structure of DyPu.

Unit cell a=3.478 b=3.477 c=5.743 alpha=90.00 beta=90.00 gamma=120.00
Site moments in Bohr magnetons follow the coordinates.
Element x y z (fractional)
Dy 0.667 0.333 0.750  0.20
Pu 0.333 0.667 0.250  5.58

Values from the calculation:
The value obtained for the energy relative to the lowest polymorph listed for this composition is 0 meV/atom.



(7)
Density functional theory data (PBE) for a relaxed structure of Sm2Er2CI5.

Unit cell a=9.855 b=9.855 c=8.732 alpha=102.20 beta=102.20 gamma=23.41
Site moments in Bohr magnetons follow the coordinates.
Element x y z (fractional)
C 0.500 0.500 0.000  0.00
Er 0.626 0.626 0.063  0.08
Er 0.374 0.374 0.937  0.08
I 0.831 0.831 0.166  0.00
I 0.165 0.165 0.330  0.00
I 0.500 0.500 0.500  0.00
I 0.835 0.835 0.670  0.00
I 0.169 0.169 0.834  0.00
Sm 0.999 0.999 0.194  0.02
Sm 0.001 0.001 0.806  0.02

Values from the calculation:
The value obtained for the energy relative to the lowest polymorph listed for this composition is 0 meV/atom.



(8)
Density functional theory data (PBE) for a relaxed structure of RbNiW.

Unit cell a=4.945 b=4.945 c=4.945 alpha=60.00 beta=60.00 gamma=60.00
Site moments in Bohr magnetons follow the coordinates.
Element x y z (fractional)
Ni 0.000 0.000 0.000  -0.03
Rb 0.750 0.750 0.750  0.10
W 0.500 0.500 0.500  3.12

Values from the calculation:
The value obtained for the energy relative to the lowest polymorph listed for this composition is 832 meV/atom.



(9)
Density functional theory data (PBE) for a relaxed structure of TbInHgTe3.

Unit cell a=9.910 b=9.910 c=9.500 alpha=102.23 beta=102.23 gamma=25.37
Element x y z (fractional)
Hg 0.460 0.460 0.279
Hg 0.540 0.540 0.721
In 0.132 0.132 0.083
In 0.868 0.868 0.917
Tb 0.827 0.827 0.408
Tb 0.173 0.173 0.592
Te 0.500 0.500 0.000
Te 0.306 0.306 0.168
Te 0.666 0.666 0.361
Te 0.000 0.000 0.500
Te 0.334 0.334 0.639
Te 0.694 0.694 0.832

Values from the calculation:
The value obtained for the energy relative to the lowest polymorph listed for this composition is 63 meV/atom.



(10)
Density functional theory data (PBE) for a relaxed structure of AcCdPb.

Unit cell a=5.471 b=5.471 c=5.471 alpha=60.00 beta=60.00 gamma=60.00
Element x y z (fractional)
Ac 0.000 0.000 0.000
Cd 0.250 0.250 0.250
Pb 0.750 0.750 0.750

Values from the calculation:
The value obtained for the energy relative to the lowest polymorph listed for this composition is 224 meV/atom.



(11)
Density functional theory data (PBE) for a relaxed structure of HgTePdO.

Unit cell a=4.230 b=4.230 c=11.900 alpha=90.00 beta=90.00 gamma=90.00
Element x y z (fractional)
Hg 0.250 0.250 0.496
Hg 0.750 0.750 0.504
O 0.250 0.250 0.290
O 0.750 0.750 0.710
Pd 0.750 0.250 0.000
Pd 0.250 0.750 0.000
Te 0.250 0.250 0.133
Te 0.750 0.750 0.867

Values from the calculation:
The value obtained for the energy relative to the lowest polymorph listed for this composition is 85 meV/atom.



(12)
Density functional theory data (PBE) for a relaxed structure of YTmAsO.

Unit cell a=4.314 b=4.314 c=8.718 alpha=90.00 beta=90.00 gamma=90.00
Element x y z (fractional)
As 0.750 0.750 0.298
As 0.250 0.250 0.702
O 0.750 0.250 0.000
O 0.250 0.750 0.000
Tm 0.750 0.250 0.500
Tm 0.250 0.750 0.500
Y 0.250 0.250 0.103
Y 0.750 0.750 0.897

Values from the calculation:
The value obtained for the energy relative to the lowest polymorph listed for this composition is 89 meV/atom.